1.
CsScI2N | GGA-PBE | relaxed

Unit cell a=6.2923 b=6.2923 c=4.1411 alpha=90.00 beta=90.00 gamma=90.00
With the nearest neighbours (Å) after each atom.
Positions (direct):
Cs 0.5000 0.5000 0.5000  8 I 3.77, 2 Cs 4.14
I 0.0000 0.5000 0.0000  2 Sc 3.15
I 0.5000 0.0000 0.0000  2 Sc 3.15
N 0.0000 0.0000 0.5000  2 Sc 2.07
Sc 0.0000 0.0000 0.0000  2 N 2.07

Computed properties:
E = -22.46 eV/cell
E_form (uncorrected) = -17.8 kcal/mol of atoms
Density of states at the Fermi level = 2.18 states/eV per cell


2.
CsScIN2 | GGA-PBE | relaxed

Unit cell a=4.4788 b=4.4788 c=6.4779 alpha=90.00 beta=90.00 gamma=90.00
With the nearest neighbours (Å) after each atom.
Positions (direct):
Cs 0.0000 0.0000 0.0000  4 N 2.24
N 0.0000 0.5000 0.0000  2 Cs 2.24
N 0.5000 0.0000 0.0000  2 Cs 2.24
I 0.0000 0.0000 0.5000  4 Sc 3.17, 2 Cs 3.24
Sc 0.5000 0.5000 0.5000  4 I 3.17

Computed properties:
E = -16.16 eV/cell
E_form (uncorrected) = 42.5 kcal/mol of atoms
Density of states at the Fermi level = 4.36 states/eV per cell